(1)
Computed, not measured: Ce4PrPt4 after structural relaxation at the PBE-GGA level of DFT.

SG = I4/m

abc: 7.214 7.214 7.214
angles: 99.23 99.23 132.78
Element x y z (fractional)
Ce: 0.104 0.309 0.414
Ce: 0.309 0.896 0.205
Ce: 0.691 0.104 0.795
Ce: 0.896 0.691 0.586
Pr: 0.500 0.500 0.000
Pt: 0.198 0.605 0.803
Pt: 0.395 0.198 0.593
Pt: 0.605 0.802 0.407
Pt: 0.802 0.395 0.197

(2)
Computed, not measured: Ce2PrPt after structural relaxation at the PBE-GGA level of DFT.

Distance to the lowest polymorph of the same formula = 117 kJ/mol of formula units
SG = R-3m

abc: 3.762 3.762 30.810
angles: 90.00 90.00 120.00
Element x y z (fractional)
Ce: 0.000 0.000 0.106
Ce: 0.000 0.000 0.894
Ce: 0.333 0.667 0.561
Ce: 0.333 0.667 0.773
Ce: 0.667 0.333 0.227
Ce: 0.667 0.333 0.439
Pr: 0.000 0.000 0.000
Pr: 0.333 0.667 0.667
Pr: 0.667 0.333 0.333
Pt: 0.000 0.000 0.500
Pt: 0.333 0.667 0.167
Pt: 0.667 0.333 0.833

(3)
Computed, not measured: CePrPt6 after structural relaxation at the PBE-GGA level of DFT.

SG = Pm-3

abc: 5.387 5.387 5.387
angles: 90.00 90.00 90.00
Element x y z (fractional)
Ce: 0.000 0.000 0.000
Pr: 0.500 0.500 0.500
Pt: 0.000 0.500 0.247
Pt: 0.000 0.500 0.753
Pt: 0.247 0.000 0.500
Pt: 0.500 0.247 0.000
Pt: 0.500 0.753 0.000
Pt: 0.753 0.000 0.500

no.,DFT formation energy (kJ/mol of atoms),DFT total energy (eV/atom)
1,-87.15,-6.756
2,-21.73,-5.897
3,-61.37,-6.506